Entry 1:
A PBEsol-optimized structure of NpSi3. Source: Alexandria, functional meta-GGA SCAN.

Values from the calculation:
The energy relative to the elements, uncorrected comes out at -56 meV/atom.

Cell and atoms, written as CIF:
```
data_NpSi3
_chemical_formula_sum 'Np1 Si3'
_cell_length_a 3.926
_cell_length_b 3.926
_cell_length_c 3.926
_cell_angle_alpha 90.00
_cell_angle_beta 90.00
_cell_angle_gamma 90.00
_space_group_name_H-M_alt 'P 1'
_space_group_IT_number 1
loop_
_space_group_symop_operation_xyz
'x,y,z'
loop_
_atom_site_label
_atom_site_type_symbol
_atom_site_fract_x
_atom_site_fract_y
_atom_site_fract_z
Si1 Si 0.000 0.500 0.500
Si2 Si 0.500 0.000 0.500
Si3 Si 0.500 0.500 0.000
Np1 Np 0.000 0.000 0.000
```


Entry 2:
A PBEsol-optimized structure of NpSi2. Source: Alexandria, functional meta-GGA SCAN.

Values from the calculation:
The energy relative to the elements, uncorrected comes out at -43 meV/atom.

Cell and atoms, written as CIF:
```
data_NpSi2
_chemical_formula_sum 'Np2 Si4'
_cell_length_a 3.852
_cell_length_b 3.852
_cell_length_c 7.584
_cell_angle_alpha 104.71
_cell_angle_beta 104.71
_cell_angle_gamma 90.00
_space_group_name_H-M_alt 'P 1'
_space_group_IT_number 1
loop_
_space_group_symop_operation_xyz
'x,y,z'
loop_
_atom_site_label
_atom_site_type_symbol
_atom_site_fract_x
_atom_site_fract_y
_atom_site_fract_z
Si1 Si 0.418 0.418 0.837
Si2 Si 0.582 0.582 0.163
Si3 Si 0.832 0.332 0.663
Si4 Si 0.668 0.168 0.337
Np1 Np 0.000 0.000 0.000
Np2 Np 0.250 0.750 0.500
```


Entry 3:
A PBEsol-optimized structure of NpSn3. Source: Alexandria, functional meta-GGA SCAN.

Values from the calculation:
The formation energy comes out at -0.0119 eV/atom.

Cell and atoms, written as CIF:
```
data_NpSn3
_chemical_formula_sum 'Np1 Sn3'
_cell_length_a 4.555
_cell_length_b 4.555
_cell_length_c 4.555
_cell_angle_alpha 90.00
_cell_angle_beta 90.00
_cell_angle_gamma 90.00
_space_group_name_H-M_alt 'P 1'
_space_group_IT_number 1
loop_
_space_group_symop_operation_xyz
'x,y,z'
loop_
_atom_site_label
_atom_site_type_symbol
_atom_site_fract_x
_atom_site_fract_y
_atom_site_fract_z
Sn1 Sn 0.500 0.500 0.000
Sn2 Sn 0.000 0.500 0.500
Sn3 Sn 0.500 0.000 0.500
Np1 Np 0.000 0.000 0.000
```


Entry 4:
A PBEsol-optimized structure of NpTe3. Source: Alexandria, functional meta-GGA SCAN.

Values from the calculation:
The energy relative to the elements, uncorrected comes out at -466 meV/atom.

Cell and atoms, written as CIF:
```
data_NpTe3
_chemical_formula_sum 'Np2 Te6'
_cell_length_a 4.301
_cell_length_b 4.308
_cell_length_c 12.497
_cell_angle_alpha 90.00
_cell_angle_beta 99.91
_cell_angle_gamma 90.00
_space_group_name_H-M_alt 'P 1'
_space_group_IT_number 1
loop_
_space_group_symop_operation_xyz
'x,y,z'
loop_
_atom_site_label
_atom_site_type_symbol
_atom_site_fract_x
_atom_site_fract_y
_atom_site_fract_z
Te1 Te 0.426 0.250 0.852
Te2 Te 0.074 0.250 0.148
Te3 Te 0.297 0.750 0.595
Te4 Te 0.703 0.250 0.405
Te5 Te 0.574 0.750 0.148
Te6 Te 0.926 0.750 0.852
Np1 Np 0.831 0.250 0.661
Np2 Np 0.169 0.750 0.339
```


Entry 5:
A PBEsol-optimized structure of O. Source: Alexandria, functional meta-GGA SCAN.

Values from the calculation:
The energy relative to the elements, uncorrected comes out at 5 meV/atom.

Cell and atoms, written as CIF:
```
data_O
_chemical_formula_sum 'O2'
_cell_length_a 3.416
_cell_length_b 3.416
_cell_length_c 4.245
_cell_angle_alpha 66.28
_cell_angle_beta 66.28
_cell_angle_gamma 60.00
_space_group_name_H-M_alt 'P 1'
_space_group_IT_number 1
loop_
_space_group_symop_operation_xyz
'x,y,z'
loop_
_atom_site_label
_atom_site_type_symbol
_atom_site_fract_x
_atom_site_fract_y
_atom_site_fract_z
O1 O 0.946 0.946 0.163
O2 O 0.054 0.054 0.837
```


Entry 6:
A PBEsol-optimized structure of O. Source: Alexandria, functional meta-GGA SCAN.

Values from the calculation:
The energy relative to the elements, uncorrected comes out at 139 meV/atom.

Cell and atoms, written as CIF:
```
data_O
_chemical_formula_sum 'O4'
_cell_length_a 3.014
_cell_length_b 4.126
_cell_length_c 4.216
_cell_angle_alpha 90.00
_cell_angle_beta 108.42
_cell_angle_gamma 90.00
_space_group_name_H-M_alt 'P 1'
_space_group_IT_number 1
loop_
_space_group_symop_operation_xyz
'x,y,z'
loop_
_atom_site_label
_atom_site_type_symbol
_atom_site_fract_x
_atom_site_fract_y
_atom_site_fract_z
O1 O 0.818 0.676 0.653
O2 O 0.182 0.324 0.347
O3 O 0.682 0.676 0.347
O4 O 0.318 0.324 0.653
```


Number 1: ρ 8.82 g/cm³. Number 2: ρ 9.27 g/cm³. Number 3: ρ 10.42 g/cm³. Number 4: ρ 9.02 g/cm³. Number 5: ρ 1.40 g/cm³. Number 6: ρ 2.14 g/cm³.